(1)
A plane-wave DFT calculation with GGA-PBE was carried out for an optimized crystal structure of KAg2I2.

a b c (Å): 5.6915 5.6915 6.5530
angles (deg): 64.26 64.26 90.00
With the nearest neighbours (Å) after each atom.
Sites, in units of the cell vectors:
I: 0.2500 0.7500 0.5000  4 Ag 3.09
I: 0.7500 0.2500 0.5000  4 Ag 3.09
K: 0.0000 0.0000 0.0000  10 Ag 3.80-4.25, 8 I 3.85
Ag: 0.3676 0.3676 0.2649  1 Ag 2.74
Ag: 0.6324 0.6324 0.7351  1 Ag 2.74

Results
- offset from the most stable computed form (meV per atom) = 22
- calculated total energy (eV per formula unit) = -11.60
- total magnetization (μB per atom) = 0.00
- space-group type = I4/mmm

(2)
A plane-wave DFT calculation with GGA-PBE was carried out for an optimized crystal structure of K3Ag5I12.

a b c (Å): 16.1975 16.1975 16.1975
angles (deg): 109.47 109.47 109.47
With the nearest neighbours (Å) after each atom.
Sites, in units of the cell vectors:
I: 0.9016 0.8252 0.5211  2 Ag 2.80-2.95
I: 0.0984 0.9236 0.1195  2 Ag 2.80-2.95
I: 0.1959 0.6748 0.0764  2 Ag 2.80-2.95
I: 0.1748 0.0764 0.6959  2 Ag 2.80-2.95
I: 0.8252 0.9016 0.0211  2 Ag 2.80-2.95
I: 0.4789 0.8041 0.8805  2 Ag 2.80-2.95
I: 0.1195 0.4236 0.0984  2 Ag 2.80-2.95
I: 0.0211 0.6195 0.6959  2 Ag 2.80-2.95
I: 0.5211 0.3252 0.9016  2 Ag 2.80-2.95
I: 0.5984 0.6195 0.4236  2 Ag 2.80-2.95
I: 0.6748 0.1959 0.5764  2 Ag 2.80-2.95
I: 0.9016 0.0764 0.8805  2 Ag 2.80-2.95
I: 0.4789 0.6748 0.0984  2 Ag 2.80-2.95
I: 0.4016 0.0211 0.3252  2 Ag 2.80-2.95
I: 0.6748 0.4789 0.5984  2 Ag 2.80-2.95
I: 0.3252 0.8041 0.4236  2 Ag 2.80-2.95
I: 0.0211 0.4016 0.8252  2 Ag 2.80-2.95
I: 0.4236 0.3041 0.3252  2 Ag 2.80-2.95
I: 0.3041 0.4236 0.8252  2 Ag 2.80-2.95
I: 0.3805 0.4016 0.0764  2 Ag 2.80-2.95
I: 0.0984 0.1748 0.4789  2 Ag 2.80-2.95
I: 0.1195 0.6959 0.5211  2 Ag 2.80-2.95
I: 0.8041 0.4789 0.3805  2 Ag 2.80-2.95
I: 0.6195 0.0211 0.1959  2 Ag 2.80-2.95
I: 0.5764 0.6959 0.6748  2 Ag 2.80-2.95
I: 0.6959 0.5764 0.1748  2 Ag 2.80-2.95
I: 0.6195 0.5984 0.9236  2 Ag 2.80-2.95
I: 0.9789 0.5984 0.1748  2 Ag 2.80-2.95
I: 0.8805 0.5764 0.9016  2 Ag 2.80-2.95
I: 0.0764 0.1748 0.1959  2 Ag 2.80-2.95
I: 0.9236 0.8252 0.8041  2 Ag 2.80-2.95
I: 0.9236 0.0984 0.6195  2 Ag 2.80-2.95
I: 0.6959 0.1195 0.0211  2 Ag 2.80-2.95
I: 0.5764 0.8805 0.4016  2 Ag 2.80-2.95
I: 0.8041 0.3252 0.9236  2 Ag 2.80-2.95
I: 0.1959 0.5211 0.6195  2 Ag 2.80-2.95
I: 0.3041 0.8805 0.9789  2 Ag 2.80-2.95
I: 0.4236 0.1195 0.5984  2 Ag 2.80-2.95
I: 0.5211 0.1959 0.1195  2 Ag 2.80-2.95
I: 0.1748 0.0984 0.9789  2 Ag 2.80-2.95
I: 0.3805 0.9789 0.8041  2 Ag 2.80-2.95
I: 0.4016 0.3805 0.5764  2 Ag 2.80-2.95
I: 0.0764 0.9016 0.3805  2 Ag 2.80-2.95
I: 0.8805 0.3041 0.4789  2 Ag 2.80-2.95
I: 0.8252 0.9236 0.3041  2 Ag 2.80-2.95
I: 0.3252 0.5211 0.4016  2 Ag 2.80-2.95
I: 0.9789 0.3805 0.3041  2 Ag 2.80-2.95
I: 0.5984 0.9789 0.6748  2 Ag 2.80-2.95
K: 0.1250 0.2500 0.8750  8 I 3.56-3.82
K: 0.7500 0.8750 0.6250  8 I 3.56-3.82
K: 0.3750 0.6250 0.2500  8 I 3.56-3.82
K: 0.2500 0.1250 0.3750  8 I 3.56-3.82
K: 0.8750 0.7500 0.1250  8 I 3.56-3.82
K: 0.3750 0.7500 0.6250  8 I 3.56-3.82
K: 0.8750 0.1250 0.2500  8 I 3.56-3.82
K: 0.6250 0.3750 0.7500  8 I 3.56-3.82
K: 0.2500 0.6250 0.8750  8 I 3.56-3.82
K: 0.1250 0.8750 0.7500  8 I 3.56-3.82
K: 0.7500 0.3750 0.1250  8 I 3.56-3.82
K: 0.6250 0.2500 0.3750  8 I 3.56-3.82
Ag: 0.6250 0.8750 0.2500  4 I 2.80
Ag: 0.2500 0.8750 0.1250  4 I 2.80
Ag: 0.2500 0.3750 0.6250  4 I 2.80
Ag: 0.5000 0.0000 0.5000  6 I 2.95
Ag: 0.3750 0.1250 0.7500  4 I 2.80
Ag: 0.0000 0.0000 0.5000  6 I 2.95
Ag: 0.7500 0.6250 0.3750  4 I 2.80
Ag: 0.6250 0.7500 0.8750  4 I 2.80
Ag: 0.0000 0.0000 0.0000  6 I 2.95
Ag: 0.0000 0.5000 0.0000  6 I 2.95
Ag: 0.5000 0.5000 0.5000  6 I 2.95
Ag: 0.3750 0.2500 0.1250  4 I 2.80
Ag: 0.1250 0.3750 0.2500  4 I 2.80
Ag: 0.8750 0.2500 0.6250  4 I 2.80
Ag: 0.5000 0.0000 0.0000  6 I 2.95
Ag: 0.5000 0.5000 0.0000  6 I 2.95
Ag: 0.8750 0.6250 0.7500  4 I 2.80
Ag: 0.1250 0.7500 0.3750  4 I 2.80
Ag: 0.7500 0.1250 0.8750  4 I 2.80
Ag: 0.0000 0.5000 0.5000  6 I 2.95

Results
- calculated total energy (eV per formula unit) = -46.01
- total magnetization (μB per atom) = 0.00
- space-group type = Ia-3d

(3)
A plane-wave DFT calculation with GGA-PBE was carried out for an optimized crystal structure of KAg2I.

a b c (Å): 5.4958 5.4958 5.4958
angles (deg): 60.00 60.00 60.00
With the nearest neighbours (Å) after each atom.
Sites, in units of the cell vectors:
I: 0.5000 0.5000 0.5000  8 Ag 3.37
K: 0.0000 0.0000 0.0000  8 Ag 3.37
Ag: 0.2500 0.2500 0.2500  4 I 3.37, 4 K 3.37
Ag: 0.7500 0.7500 0.7500  4 I 3.37, 4 K 3.37

Results
- offset from the most stable computed form (meV per atom) = 116
- calculated total energy (eV per formula unit) = -7.81
- total magnetization (μB per atom) = 0.00
- space-group type = Fm-3m

(4)
A plane-wave DFT calculation with GGA-PBE was carried out for an optimized crystal structure of K12Ag3I5.

a b c (Å): 17.9828 17.9828 17.9828
angles (deg): 109.47 109.47 109.47
With the nearest neighbours (Å) after each atom.
Sites, in units of the cell vectors:
K: 0.3616 0.4191 0.0874  2 I 3.39-3.54, 1 Ag 3.75
K: 0.5576 0.3317 0.9191  2 I 3.39-3.54, 1 Ag 3.75
K: 0.1683 0.0809 0.9424  2 I 3.39-3.54, 1 Ag 3.75
K: 0.7258 0.1384 0.0576  2 I 3.39-3.54, 1 Ag 3.75
K: 0.6384 0.0576 0.2258  2 I 3.39-3.54, 1 Ag 3.75
K: 0.5874 0.7258 0.6683  2 I 3.39-3.54, 1 Ag 3.75
K: 0.2258 0.6683 0.0874  2 I 3.39-3.54, 1 Ag 3.75
K: 0.6683 0.2258 0.5874  2 I 3.39-3.54, 1 Ag 3.75
K: 0.9191 0.0874 0.8616  2 I 3.39-3.54, 1 Ag 3.75
K: 0.4126 0.1384 0.5809  2 I 3.39-3.54, 1 Ag 3.75
K: 0.5809 0.6384 0.4126  2 I 3.39-3.54, 1 Ag 3.75
K: 0.4424 0.7742 0.8616  2 I 3.39-3.54, 1 Ag 3.75
K: 0.0576 0.4191 0.8317  2 I 3.39-3.54, 1 Ag 3.75
K: 0.9424 0.3616 0.2742  2 I 3.39-3.54, 1 Ag 3.75
K: 0.7258 0.5874 0.1683  2 I 3.39-3.54, 1 Ag 3.75
K: 0.2742 0.8616 0.9424  2 I 3.39-3.54, 1 Ag 3.75
K: 0.8317 0.9126 0.2742  2 I 3.39-3.54, 1 Ag 3.75
K: 0.3317 0.7742 0.4126  2 I 3.39-3.54, 1 Ag 3.75
K: 0.0576 0.6384 0.7258  2 I 3.39-3.54, 1 Ag 3.75
K: 0.4191 0.3616 0.5874  2 I 3.39-3.54, 1 Ag 3.75
K: 0.2742 0.4126 0.8317  2 I 3.39-3.54, 1 Ag 3.75
K: 0.8616 0.2742 0.4424  2 I 3.39-3.54, 1 Ag 3.75
K: 0.0874 0.1683 0.2258  2 I 3.39-3.54, 1 Ag 3.75
K: 0.0874 0.9191 0.3616  2 I 3.39-3.54, 1 Ag 3.75
K: 0.3317 0.5576 0.4191  2 I 3.39-3.54, 1 Ag 3.75
K: 0.7742 0.3317 0.9126  2 I 3.39-3.54, 1 Ag 3.75
K: 0.6384 0.5809 0.9126  2 I 3.39-3.54, 1 Ag 3.75
K: 0.0809 0.1683 0.4424  2 I 3.39-3.54, 1 Ag 3.75
K: 0.9126 0.8317 0.7742  2 I 3.39-3.54, 1 Ag 3.75
K: 0.4126 0.2742 0.3317  2 I 3.39-3.54, 1 Ag 3.75
K: 0.0809 0.9126 0.1384  2 I 3.39-3.54, 1 Ag 3.75
K: 0.4191 0.0576 0.3317  2 I 3.39-3.54, 1 Ag 3.75
K: 0.5874 0.8616 0.4191  2 I 3.39-3.54, 1 Ag 3.75
K: 0.3616 0.9424 0.7742  2 I 3.39-3.54, 1 Ag 3.75
K: 0.5809 0.9424 0.6683  2 I 3.39-3.54, 1 Ag 3.75
K: 0.7742 0.4424 0.3616  2 I 3.39-3.54, 1 Ag 3.75
K: 0.8317 0.9191 0.0576  2 I 3.39-3.54, 1 Ag 3.75
K: 0.6683 0.4424 0.5809  2 I 3.39-3.54, 1 Ag 3.75
K: 0.8616 0.5874 0.9191  2 I 3.39-3.54, 1 Ag 3.75
K: 0.1384 0.7258 0.5576  2 I 3.39-3.54, 1 Ag 3.75
K: 0.1384 0.4126 0.0809  2 I 3.39-3.54, 1 Ag 3.75
K: 0.9424 0.5809 0.1683  2 I 3.39-3.54, 1 Ag 3.75
K: 0.1683 0.0874 0.7258  2 I 3.39-3.54, 1 Ag 3.75
K: 0.9191 0.8317 0.5576  2 I 3.39-3.54, 1 Ag 3.75
K: 0.9126 0.0809 0.6384  2 I 3.39-3.54, 1 Ag 3.75
K: 0.2258 0.5576 0.6384  2 I 3.39-3.54, 1 Ag 3.75
K: 0.5576 0.2258 0.1384  2 I 3.39-3.54, 1 Ag 3.75
K: 0.4424 0.6683 0.0809  2 I 3.39-3.54, 1 Ag 3.75
Ag: 0.2500 0.6250 0.8750  8 K 3.75-3.84
Ag: 0.7500 0.3750 0.1250  8 K 3.75-3.84
Ag: 0.8750 0.7500 0.1250  8 K 3.75-3.84
Ag: 0.2500 0.1250 0.3750  8 K 3.75-3.84
Ag: 0.6250 0.3750 0.7500  8 K 3.75-3.84
Ag: 0.3750 0.7500 0.6250  8 K 3.75-3.84
Ag: 0.8750 0.1250 0.2500  8 K 3.75-3.84
Ag: 0.3750 0.6250 0.2500  8 K 3.75-3.84
Ag: 0.1250 0.2500 0.8750  8 K 3.75-3.84
Ag: 0.1250 0.8750 0.7500  8 K 3.75-3.84
Ag: 0.6250 0.2500 0.3750  8 K 3.75-3.84
Ag: 0.7500 0.8750 0.6250  8 K 3.75-3.84
I: 0.5000 0.0000 0.5000  6 K 3.54
I: 0.6250 0.7500 0.8750  4 K 3.39
I: 0.8750 0.6250 0.7500  4 K 3.39
I: 0.0000 0.0000 0.5000  6 K 3.54
I: 0.2500 0.3750 0.6250  4 K 3.39
I: 0.0000 0.5000 0.5000  6 K 3.54
I: 0.0000 0.5000 0.0000  6 K 3.54
I: 0.1250 0.3750 0.2500  4 K 3.39
I: 0.5000 0.0000 0.0000  6 K 3.54
I: 0.3750 0.1250 0.7500  4 K 3.39
I: 0.0000 0.0000 0.0000  6 K 3.54
I: 0.1250 0.7500 0.3750  4 K 3.39
I: 0.6250 0.8750 0.2500  4 K 3.39
I: 0.3750 0.2500 0.1250  4 K 3.39
I: 0.8750 0.2500 0.6250  4 K 3.39
I: 0.7500 0.1250 0.8750  4 K 3.39
I: 0.5000 0.5000 0.5000  6 K 3.54
I: 0.5000 0.5000 0.0000  6 K 3.54
I: 0.2500 0.8750 0.1250  4 K 3.39
I: 0.7500 0.6250 0.3750  4 K 3.39

Results
- calculated total energy (eV per formula unit) = -41.51
- total magnetization (μB per atom) = 0.00
- space-group type = Ia-3d

(5)
A plane-wave DFT calculation with GGA-PBE was carried out for an optimized crystal structure of K12Ag5I3.

a b c (Å): 17.7051 17.7051 17.7051
angles (deg): 109.47 109.47 109.47
With the nearest neighbours (Å) after each atom.
Sites, in units of the cell vectors:
K: 0.4554 0.7803 0.8781  2 Ag 3.24-3.41
K: 0.5978 0.7197 0.6751  2 Ag 3.24-3.41
K: 0.3781 0.9554 0.7803  2 Ag 3.24-3.41
K: 0.6751 0.4554 0.5773  2 Ag 3.24-3.41
K: 0.0978 0.9227 0.3781  2 Ag 3.24-3.41
K: 0.4022 0.1219 0.5773  2 Ag 3.24-3.41
K: 0.3781 0.4227 0.0978  2 Ag 3.24-3.41
K: 0.2803 0.8781 0.9554  2 Ag 3.24-3.41
K: 0.9227 0.0978 0.8781  2 Ag 3.24-3.41
K: 0.4227 0.0446 0.3249  2 Ag 3.24-3.41
K: 0.7803 0.4554 0.3781  2 Ag 3.24-3.41
K: 0.0978 0.1751 0.2197  2 Ag 3.24-3.41
K: 0.6219 0.0446 0.2197  2 Ag 3.24-3.41
K: 0.4554 0.6751 0.0773  2 Ag 3.24-3.41
K: 0.5773 0.9554 0.6751  2 Ag 3.24-3.41
K: 0.9022 0.8249 0.7803  2 Ag 3.24-3.41
K: 0.0773 0.1751 0.4554  2 Ag 3.24-3.41
K: 0.0446 0.4227 0.8249  2 Ag 3.24-3.41
K: 0.4022 0.2803 0.3249  2 Ag 3.24-3.41
K: 0.2803 0.4022 0.8249  2 Ag 3.24-3.41
K: 0.5446 0.3249 0.9227  2 Ag 3.24-3.41
K: 0.3249 0.7803 0.4022  2 Ag 3.24-3.41
K: 0.8249 0.9022 0.2803  2 Ag 3.24-3.41
K: 0.1219 0.4022 0.0773  2 Ag 3.24-3.41
K: 0.4227 0.3781 0.5978  2 Ag 3.24-3.41
K: 0.1219 0.7197 0.5446  2 Ag 3.24-3.41
K: 0.6219 0.5773 0.9022  2 Ag 3.24-3.41
K: 0.5773 0.6219 0.4022  2 Ag 3.24-3.41
K: 0.9227 0.8249 0.5446  2 Ag 3.24-3.41
K: 0.6751 0.2197 0.5978  2 Ag 3.24-3.41
K: 0.5446 0.2197 0.1219  2 Ag 3.24-3.41
K: 0.9022 0.0773 0.6219  2 Ag 3.24-3.41
K: 0.0773 0.9022 0.1219  2 Ag 3.24-3.41
K: 0.7197 0.5978 0.1751  2 Ag 3.24-3.41
K: 0.2197 0.6751 0.0978  2 Ag 3.24-3.41
K: 0.3249 0.5446 0.4227  2 Ag 3.24-3.41
K: 0.8249 0.9227 0.0446  2 Ag 3.24-3.41
K: 0.2197 0.5446 0.6219  2 Ag 3.24-3.41
K: 0.9554 0.3781 0.2803  2 Ag 3.24-3.41
K: 0.7803 0.3249 0.9022  2 Ag 3.24-3.41
K: 0.1751 0.0978 0.7197  2 Ag 3.24-3.41
K: 0.8781 0.2803 0.4554  2 Ag 3.24-3.41
K: 0.1751 0.0773 0.9554  2 Ag 3.24-3.41
K: 0.8781 0.5978 0.9227  2 Ag 3.24-3.41
K: 0.9554 0.5773 0.1751  2 Ag 3.24-3.41
K: 0.5978 0.8781 0.4227  2 Ag 3.24-3.41
K: 0.7197 0.1219 0.0446  2 Ag 3.24-3.41
K: 0.0446 0.6219 0.7197  2 Ag 3.24-3.41
Ag: 0.1250 0.7500 0.3750  4 K 3.24
Ag: 0.5000 0.5000 0.0000  6 K 3.41
Ag: 0.5000 0.0000 0.0000  6 K 3.41
Ag: 0.2500 0.3750 0.6250  4 K 3.24
Ag: 0.0000 0.0000 0.0000  6 K 3.41
Ag: 0.2500 0.8750 0.1250  4 K 3.24
Ag: 0.5000 0.5000 0.5000  6 K 3.41
Ag: 0.7500 0.1250 0.8750  4 K 3.24
Ag: 0.8750 0.6250 0.7500  4 K 3.24
Ag: 0.6250 0.7500 0.8750  4 K 3.24
Ag: 0.0000 0.5000 0.0000  6 K 3.41
Ag: 0.1250 0.3750 0.2500  4 K 3.24
Ag: 0.5000 0.0000 0.5000  6 K 3.41
Ag: 0.6250 0.8750 0.2500  4 K 3.24
Ag: 0.0000 0.5000 0.5000  6 K 3.41
Ag: 0.0000 0.0000 0.5000  6 K 3.41
Ag: 0.3750 0.1250 0.7500  4 K 3.24
Ag: 0.3750 0.2500 0.1250  4 K 3.24
Ag: 0.8750 0.2500 0.6250  4 K 3.24
Ag: 0.7500 0.6250 0.3750  4 K 3.24
I: 0.7500 0.8750 0.6250  8 K 3.73-4.00
I: 0.1250 0.2500 0.8750  8 K 3.73-4.00
I: 0.8750 0.1250 0.2500  8 K 3.73-4.00
I: 0.3750 0.6250 0.2500  8 K 3.73-4.00
I: 0.1250 0.8750 0.7500  8 K 3.73-4.00
I: 0.6250 0.2500 0.3750  8 K 3.73-4.00
I: 0.2500 0.6250 0.8750  8 K 3.73-4.00
I: 0.2500 0.1250 0.3750  8 K 3.73-4.00
I: 0.8750 0.7500 0.1250  8 K 3.73-4.00
I: 0.7500 0.3750 0.1250  8 K 3.73-4.00
I: 0.6250 0.3750 0.7500  8 K 3.73-4.00
I: 0.3750 0.7500 0.6250  8 K 3.73-4.00

Results
- calculated total energy (eV per formula unit) = -37.47
- total magnetization (μB per atom) = 0.00
- space-group type = Ia-3d

(6)
A plane-wave DFT calculation with GGA-PBE was carried out for an optimized crystal structure of KAg3I4.

a b c (Å): 8.0642 8.3784 9.7818
angles (deg): 90.00 90.00 90.00
With the nearest neighbours (Å) after each atom.
Sites, in units of the cell vectors:
I: 0.1534 0.3533 0.2785  3 Ag 2.87-2.88
I: 0.6534 0.6467 0.2215  3 Ag 2.87-2.88
I: 0.1459 0.7856 0.0000  3 Ag 2.87-2.89
I: 0.5591 0.1545 0.0000  3 Ag 2.88-2.90
I: 0.6459 0.2144 0.5000  3 Ag 2.87-2.89
I: 0.0591 0.8455 0.5000  3 Ag 2.88-2.90
I: 0.6534 0.6467 0.7785  3 Ag 2.87-2.88
I: 0.1534 0.3533 0.7215  3 Ag 2.87-2.88
Ag: 0.5080 0.3363 0.2486  4 I 2.87-2.90
Ag: 0.0004 0.1846 0.5000  4 I 2.87-2.88
Ag: 0.0080 0.6637 0.7486  4 I 2.87-2.90
Ag: 0.5080 0.3363 0.7514  4 I 2.87-2.90
Ag: 0.0080 0.6637 0.2514  4 I 2.87-2.90
Ag: 0.5004 0.8154 0.0000  4 I 2.87-2.88
K: 0.4868 0.8327 0.5000  4 I 3.41-3.45
K: 0.9868 0.1673 0.0000  4 I 3.41-3.45

Results
- offset from the most stable computed form (meV per atom) = 0
- calculated total energy (eV per formula unit) = -20.18
- total magnetization (μB per atom) = 0.00
- space-group type = Pmn2_1